Entry 1:
! Sc5Zn2Sb PBE optimized geometry; values from VASP
! SG: I4/mcm
! Electronic total energy (eV per atom): -5.26
&SYSTEM
  ibrav = 0, nat = 16, ntyp = 3
/
ATOMIC_SPECIES
Sc 44.96 Sc.upf
Zn 65.41 Zn.upf
Sb 121.76 Sb.upf
CELL_PARAMETERS angstrom
-3.773 3.773 6.004
3.773 -3.773 6.004
3.773 3.773 -6.004
ATOMIC_POSITIONS angstrom
Sc 0.000 0.000 0.000
Sc 4.939 1.166 -1.753
Sc 1.166 2.607 -1.753
Sc 4.939 1.166 1.753
Sc 1.166 2.607 1.753
Sc 0.000 0.000 6.004
Sc 2.607 1.166 4.251
Sc -1.166 2.607 4.251
Sc 2.607 1.166 7.757
Sc -1.166 2.607 7.757
Zn 2.736 1.038 0.000
Zn 2.736 -1.038 6.004
Zn 1.038 4.811 0.000
Zn 1.038 2.736 6.004
Sb 0.000 0.000 3.002
Sb 0.000 0.000 9.005

---

Entry 2:
! KIr2Rh2 PBE optimized geometry; values from VASP
! ΔH_f (0 K) (meV/atom): 318
! SG: P4/mbm
&SYSTEM
  ibrav = 0, nat = 10, ntyp = 3
/
ATOMIC_SPECIES
K 39.10 K.upf
Ir 192.22 Ir.upf
Rh 102.91 Rh.upf
CELL_PARAMETERS angstrom
7.950 0.000 0.000
0.000 7.950 0.000
0.000 0.000 2.704
ATOMIC_POSITIONS angstrom
K 0.000 0.000 0.000
K 3.975 3.975 0.000
Ir 0.926 3.049 0.000
Ir 3.049 7.024 0.000
Ir 4.900 0.926 0.000
Ir 7.024 4.900 0.000
Rh 1.418 5.393 1.352
Rh 2.557 1.418 1.352
Rh 5.393 6.531 1.352
Rh 6.531 2.557 1.352

---

Entry 3:
! Dy2ThBi PBE optimized geometry; values from VASP
! ΔH_f (0 K) (meV/atom): -307
! SG: P4/mmm
&SYSTEM
  ibrav = 0, nat = 4, ntyp = 3
/
ATOMIC_SPECIES
Dy 162.50 Dy.upf
Th 232.04 Th.upf
Bi 208.98 Bi.upf
CELL_PARAMETERS angstrom
4.993 0.000 0.000
0.000 4.993 0.000
0.000 0.000 4.721
ATOMIC_POSITIONS angstrom
Dy 0.000 2.497 0.000
Dy 2.497 0.000 0.000
Th 0.000 0.000 2.360
Bi 2.497 2.497 2.360

---

Entry 4:
! CsB2I PBE optimized geometry; values from VASP
! SG: Fm-3m
! Electronic total energy (eV per atom): -2.02
&SYSTEM
  ibrav = 0, nat = 4, ntyp = 3
/
ATOMIC_SPECIES
Cs 132.91 Cs.upf
B 10.81 B.upf
I 126.90 I.upf
CELL_PARAMETERS angstrom
0.000 3.742 3.742
3.742 0.000 3.742
3.742 3.742 0.000
ATOMIC_POSITIONS angstrom
Cs 0.000 0.000 0.000
B 1.871 1.871 1.871
B 5.614 5.614 5.614
I 3.742 3.742 3.742

---

Entry 5:
! SrGe12Ir4 PBE optimized geometry; values from VASP
! ΔH_f (0 K) (meV/atom): -192
! SG: Im-3
&SYSTEM
  ibrav = 0, nat = 17, ntyp = 3
/
ATOMIC_SPECIES
Sr 87.62 Sr.upf
Ge 72.64 Ge.upf
Ir 192.22 Ir.upf
CELL_PARAMETERS angstrom
-4.367 4.367 4.367
4.367 -4.367 4.367
4.367 4.367 -4.367
ATOMIC_POSITIONS angstrom
Sr 0.000 0.000 0.000
Ge 3.067 0.000 1.354
Ge 5.667 0.000 1.354
Ge 4.367 3.013 -1.300
Ge 1.354 3.067 0.000
Ge 3.013 -1.300 4.367
Ge 4.367 3.013 1.300
Ge 0.000 1.354 3.067
Ge 1.354 5.667 0.000
Ge 3.013 1.300 4.367
Ge 0.000 1.354 5.667
Ge -1.300 4.367 3.013
Ge 1.300 4.367 3.013
Ir 2.183 2.183 -2.183
Ir 2.183 -2.183 2.183
Ir -2.183 2.183 2.183
Ir 2.183 2.183 2.183

---

Entry 6:
! Sn5Te4Br PBE optimized geometry; values from VASP
! SG: Immm
! Electronic total energy (eV per atom): -3.69
&SYSTEM
  ibrav = 0, nat = 10, ntyp = 3
/
ATOMIC_SPECIES
Sn 118.71 Sn.upf
Te 127.60 Te.upf
Br 79.90 Br.upf
CELL_PARAMETERS angstrom
-2.215 3.199 11.656
2.215 -3.199 11.656
2.215 3.199 -11.656
ATOMIC_POSITIONS angstrom
Sn 0.000 0.000 0.000
Sn 0.000 0.000 4.577
Sn 0.000 0.000 9.163
Sn 0.000 0.000 14.149
Sn 0.000 0.000 18.735
Te 2.215 0.000 2.314
Te 2.215 0.000 6.966
Te 0.000 3.199 4.690
Te 0.000 3.199 9.342
Br 0.000 3.199 0.000

---

Number 1: total magnetization 0.00 μB/f.u.. Number 2: total magnetization 0.00 μB/f.u.. Number 3: total magnetization 0.00 μB/f.u.. Number 4: total magnetization 0.22 μB/f.u.. Number 5: total magnetization 0.00 μB/f.u.. Number 6: total magnetization 0.00 μB/f.u..